# CsKRb2Na | Alexandria | GGA-PBE | relaxed
data_CsKRb2Na
_space_group_name_H-M_alt 'P 1'
_space_group_IT_number 1
_space_group_name_Hall 'P 1'
_cell_length_a 7.6333
_cell_length_b 7.6333
_cell_length_c 7.9253
_cell_angle_alpha 90.00
_cell_angle_beta 90.00
_cell_angle_gamma 90.00
loop_
_atom_site_label
_atom_site_type_symbol
_atom_site_fract_x
_atom_site_fract_y
_atom_site_fract_z
_atom_site_occupancy
Rb1 Rb 0.5000 0.0000 0.0000 1
K1 K 0.5000 0.5000 0.5000 1
Cs1 Cs 0.0000 0.0000 0.5000 1
Rb2 Rb 0.0000 0.5000 0.0000 1
Na1 Na 0.0000 0.0000 0.0000 1
# - E above lowest polymorph (eV/atom) = 0.039
# - E_form (meV/atom) = 95
# - crystal system = tetragonal
# - symmetry = P4/mmm (123)


# CsKRb2Na2 | Alexandria | GGA-PBE | relaxed
data_CsKRb2Na2
_space_group_name_H-M_alt 'P 1'
_space_group_IT_number 1
_space_group_name_Hall 'P 1'
_cell_length_a 7.9241
_cell_length_b 7.9241
_cell_length_c 9.7858
_cell_angle_alpha 113.88
_cell_angle_beta 113.88
_cell_angle_gamma 90.00
loop_
_atom_site_label
_atom_site_type_symbol
_atom_site_fract_x
_atom_site_fract_y
_atom_site_fract_z
_atom_site_occupancy
K1 K 0.0000 0.0000 0.0000 1
Rb1 Rb 0.2500 0.7500 0.5000 1
Rb2 Rb 0.7500 0.2500 0.5000 1
Na1 Na 0.2368 0.2368 0.4736 1
Cs1 Cs 0.5000 0.5000 0.0000 1
Na2 Na 0.7632 0.7632 0.5264 1
# - E_form (meV/atom) = 102
# - crystal system = tetragonal
# - symmetry = I4/mmm (139)


# Cs2K2Rb2Na | Alexandria | GGA-PBE | relaxed
data_Cs2K2Rb2Na
_space_group_name_H-M_alt 'P 1'
_space_group_IT_number 1
_space_group_name_Hall 'P 1'
_cell_length_a 4.9663
_cell_length_b 10.7506
_cell_length_c 12.2643
_cell_angle_alpha 72.00
_cell_angle_beta 89.91
_cell_angle_gamma 76.03
loop_
_atom_site_label
_atom_site_type_symbol
_atom_site_fract_x
_atom_site_fract_y
_atom_site_fract_z
_atom_site_occupancy
K1 K 0.8377 0.3210 0.4874 1
Rb1 Rb 0.8074 0.4041 0.8552 1
Cs1 Cs 0.5375 0.9265 0.7414 1
Na1 Na 0.0000 0.0000 0.0000 1
K2 K 0.1623 0.6790 0.5126 1
Cs2 Cs 0.4625 0.0735 0.2586 1
Rb2 Rb 0.1926 0.5959 0.1448 1
# - E_form (meV/atom) = 40
# - crystal system = triclinic
# - symmetry = P-1 (2)


# CsK2RbNa | Alexandria | GGA-PBE | relaxed
data_CsK2RbNa
_space_group_name_H-M_alt 'P 1'
_space_group_IT_number 1
_space_group_name_Hall 'P 1'
_cell_length_a 7.4156
_cell_length_b 7.4156
_cell_length_c 7.6238
_cell_angle_alpha 90.00
_cell_angle_beta 90.00
_cell_angle_gamma 90.00
loop_
_atom_site_label
_atom_site_type_symbol
_atom_site_fract_x
_atom_site_fract_y
_atom_site_fract_z
_atom_site_occupancy
Na1 Na 0.0000 0.0000 0.0000 1
K1 K 0.5000 0.0000 0.0000 1
K2 K 0.0000 0.5000 0.0000 1
Cs1 Cs 0.5000 0.5000 0.5000 1
Rb1 Rb 0.0000 0.0000 0.5000 1
# - E above lowest polymorph (eV/atom) = 0.011
# - E_form (meV/atom) = 66
# - crystal system = tetragonal
# - symmetry = P4/mmm (123)


# Cs2K4RbNa | Alexandria | GGA-PBE | relaxed
data_Cs2K4RbNa
_space_group_name_H-M_alt 'P 1'
_space_group_IT_number 1
_space_group_name_Hall 'P 1'
_cell_length_a 12.8437
_cell_length_b 12.8437
_cell_length_c 9.3261
_cell_angle_alpha 111.47
_cell_angle_beta 111.47
_cell_angle_gamma 88.13
loop_
_atom_site_label
_atom_site_type_symbol
_atom_site_fract_x
_atom_site_fract_y
_atom_site_fract_z
_atom_site_occupancy
Rb1 Rb 0.0000 0.5000 0.0000 1
Cs1 Cs 0.5000 0.0000 0.0000 1
K1 K 0.7964 0.2218 0.0121 1
Na1 Na 0.5000 0.5000 0.5000 1
Na2 Na 0.0000 0.0000 0.0000 1
Cs2 Cs 0.5000 0.0000 0.5000 1
Rb2 Rb 0.0000 0.5000 0.5000 1
Cs3 Cs 0.0000 0.0000 0.5000 1
K2 K 0.2445 0.2568 0.4764 1
K3 K 0.7568 0.7445 0.9764 1
K4 K 0.7218 0.2964 0.5121 1
K5 K 0.2432 0.2555 0.0236 1
K6 K 0.2036 0.7782 0.9879 1
Cs4 Cs 0.5000 0.5000 0.0000 1
K7 K 0.7555 0.7432 0.5236 1
K8 K 0.2782 0.7036 0.4879 1
# - E_form (meV/atom) = 71
# - crystal system = monoclinic
# - symmetry = C2/c (15)


# Cs2K8RbNa | Alexandria | GGA-PBE | relaxed
data_Cs2K8RbNa
_space_group_name_H-M_alt 'P 1'
_space_group_IT_number 1
_space_group_name_Hall 'P 1'
_cell_length_a 8.7492
_cell_length_b 8.7439
_cell_length_c 14.9897
_cell_angle_alpha 73.36
_cell_angle_beta 73.03
_cell_angle_gamma 59.98
loop_
_atom_site_label
_atom_site_type_symbol
_atom_site_fract_x
_atom_site_fract_y
_atom_site_fract_z
_atom_site_occupancy
Na1 Na 0.0000 0.0000 0.0000 1
Rb1 Rb 0.5000 0.5000 0.5000 1
K1 K 0.2426 0.7599 0.2437 1
Cs1 Cs 0.3121 0.3122 0.0636 1
K2 K 0.2463 0.2401 0.7563 1
K3 K 0.8140 0.8121 0.5600 1
K4 K 0.1860 0.1879 0.4400 1
K5 K 0.7537 0.7599 0.2437 1
K6 K 0.2456 0.7504 0.7584 1
K7 K 0.7544 0.2496 0.2416 1
Cs2 Cs 0.6879 0.6878 0.9364 1
K8 K 0.7574 0.2401 0.7563 1
# - E_form (meV/atom) = 17
# - crystal system = monoclinic
# - symmetry = C2/m (12)


# Cs2KRb5Na2 | Alexandria | GGA-PBE | relaxed
data_Cs2KRb5Na2
_space_group_name_H-M_alt 'P 1'
_space_group_IT_number 1
_space_group_name_Hall 'P 1'
_cell_length_a 6.1004
_cell_length_b 16.4822
_cell_length_c 16.4822
_cell_angle_alpha 90.00
_cell_angle_beta 90.00
_cell_angle_gamma 90.00
loop_
_atom_site_label
_atom_site_type_symbol
_atom_site_fract_x
_atom_site_fract_y
_atom_site_fract_z
_atom_site_occupancy
Rb1 Rb 0.5000 0.5682 0.7077 1
Cs1 Cs 0.0000 0.6745 0.1745 1
Rb2 Rb 0.5000 0.7923 0.9318 1
Cs2 Cs 0.0000 0.1745 0.3255 1
Rb3 Rb 0.5000 0.0000 0.5000 1
K1 K 0.0000 0.0000 0.0000 1
Rb4 Rb 0.5000 0.0682 0.7923 1
Rb5 Rb 0.5000 0.5000 0.0000 1
Cs3 Cs 0.0000 0.3255 0.8255 1
Na1 Na 0.0000 0.1212 0.6212 1
Rb6 Rb 0.5000 0.9318 0.2077 1
Rb7 Rb 0.5000 0.7077 0.4318 1
K2 K 0.0000 0.5000 0.5000 1
Cs4 Cs 0.0000 0.8255 0.6745 1
Rb8 Rb 0.5000 0.2077 0.0682 1
Rb9 Rb 0.5000 0.4318 0.2923 1
Na2 Na 0.0000 0.6212 0.8788 1
Rb10 Rb 0.5000 0.2923 0.5682 1
Na3 Na 0.0000 0.3788 0.1212 1
Na4 Na 0.0000 0.8788 0.3788 1
# - E_form (meV/atom) = 21
# - crystal system = tetragonal
# - symmetry = P4/mbm (127)


# Cs3KRb3Na2 | Alexandria | GGA-PBE | relaxed
data_Cs3KRb3Na2
_space_group_name_H-M_alt 'P 1'
_space_group_IT_number 1
_space_group_name_Hall 'P 1'
_cell_length_a 5.3206
_cell_length_b 12.7250
_cell_length_c 12.7250
_cell_angle_alpha 120.00
_cell_angle_beta 90.00
_cell_angle_gamma 90.00
loop_
_atom_site_label
_atom_site_type_symbol
_atom_site_fract_x
_atom_site_fract_y
_atom_site_fract_z
_atom_site_occupancy
Cs1 Cs 0.0000 0.3891 0.0000 1
Cs2 Cs 0.0000 0.6109 0.6109 1
K1 K 0.0000 0.0000 0.0000 1
Rb1 Rb 0.5000 0.2925 0.2925 1
Na1 Na 0.5000 0.6667 0.3333 1
Na2 Na 0.5000 0.3333 0.6667 1
Rb2 Rb 0.5000 0.0000 0.7075 1
Cs3 Cs 0.0000 0.0000 0.3891 1
Rb3 Rb 0.5000 0.7075 0.0000 1
# - E_form (meV/atom) = 26
# - crystal system = hexagonal
# - symmetry = P-62m (189)


# CsK8Rb2Na | Alexandria | GGA-PBE | relaxed
data_CsK8Rb2Na
_space_group_name_H-M_alt 'P 1'
_space_group_IT_number 1
_space_group_name_Hall 'P 1'
_cell_length_a 8.7222
_cell_length_b 8.7259
_cell_length_c 14.8698
_cell_angle_alpha 73.52
_cell_angle_beta 72.95
_cell_angle_gamma 60.01
loop_
_atom_site_label
_atom_site_type_symbol
_atom_site_fract_x
_atom_site_fract_y
_atom_site_fract_z
_atom_site_occupancy
Na1 Na 0.0000 0.0000 0.0000 1
K1 K 0.1886 0.1868 0.4360 1
Cs1 Cs 0.5000 0.5000 0.5000 1
K2 K 0.7559 0.7648 0.2341 1
Rb1 Rb 0.3113 0.3129 0.0646 1
K3 K 0.2441 0.2352 0.7659 1
K4 K 0.7570 0.2564 0.2295 1
K5 K 0.7548 0.2352 0.7659 1
Rb2 Rb 0.6887 0.6871 0.9354 1
K6 K 0.2452 0.7648 0.2341 1
K7 K 0.2430 0.7436 0.7705 1
K8 K 0.8114 0.8132 0.5640 1
# - E_form (meV/atom) = 30
# - crystal system = monoclinic
# - symmetry = C2/m (12)


# CsKRb5Na | Alexandria | GGA-PBE | relaxed
data_CsKRb5Na
_space_group_name_H-M_alt 'P 1'
_space_group_IT_number 1
_space_group_name_Hall 'P 1'
_cell_length_a 12.1732
_cell_length_b 12.1732
_cell_length_c 16.5062
_cell_angle_alpha 104.11
_cell_angle_beta 104.11
_cell_angle_gamma 134.57
loop_
_atom_site_label
_atom_site_type_symbol
_atom_site_fract_x
_atom_site_fract_y
_atom_site_fract_z
_atom_site_occupancy
Rb1 Rb 0.2228 0.4145 0.4234 1
K1 K 0.5030 0.4970 0.7500 1
Rb2 Rb 0.5855 0.7772 0.0766 1
Rb3 Rb 0.6337 0.0007 0.4197 1
Rb4 Rb 0.7772 0.5855 0.5766 1
Na1 Na 0.0000 0.0000 0.5000 1
Cs1 Cs 0.7011 0.2989 0.2500 1
Rb5 Rb 0.9993 0.3663 0.0803 1
K2 K 0.4970 0.5030 0.2500 1
Rb6 Rb 0.9062 0.0938 0.7500 1
Rb7 Rb 0.4145 0.2228 0.9234 1
Rb8 Rb 0.0007 0.6337 0.9197 1
Rb9 Rb 0.3663 0.9993 0.5803 1
Rb10 Rb 0.0938 0.9062 0.2500 1
Na2 Na 0.0000 0.0000 0.0000 1
Cs2 Cs 0.2989 0.7011 0.7500 1
# - E_form (meV/atom) = 22
# - crystal system = monoclinic
# - symmetry = C2/c (15)


# CsKRb2Na | Alexandria | GGA-PBE | relaxed
data_CsKRb2Na
_space_group_name_H-M_alt 'P 1'
_space_group_IT_number 1
_space_group_name_Hall 'P 1'
_cell_length_a 8.0182
_cell_length_b 8.0182
_cell_length_c 7.1863
_cell_angle_alpha 90.00
_cell_angle_beta 90.00
_cell_angle_gamma 90.00
loop_
_atom_site_label
_atom_site_type_symbol
_atom_site_fract_x
_atom_site_fract_y
_atom_site_fract_z
_atom_site_occupancy
Cs1 Cs 0.5000 0.5000 0.5000 1
Na1 Na 0.0000 0.0000 0.5000 1
Rb1 Rb 0.0000 0.5000 0.0000 1
Rb2 Rb 0.5000 0.0000 0.0000 1
K1 K 0.0000 0.0000 0.0000 1
# - E above lowest polymorph (eV/atom) = 0.088
# - E_form (meV/atom) = 145
# - crystal system = tetragonal
# - symmetry = P4/mmm (123)